No. 1
First-principles (GGA-PBEsol) data for BeBRu2 after structural relaxation, as listed in Alexandria via LeMat-Bulk.

a b c (Å): 4.8488 4.8488 4.8488
angles (deg): 107.45 107.45 113.59
Last column: nearest neighbours and their distance in Å.
Sites, in units of the cell vectors:
1 Ru 0.9066 0.8750 0.5316  2 B 2.02
2 Ru 0.3434 0.3750 0.4684  2 B 2.02
3 Ru 0.1250 0.6566 0.0316  2 B 2.02
4 Ru 0.6250 0.0934 0.9684  2 B 2.02
5 B 0.0000 0.0000 0.0000  4 Ru 2.02
6 B 0.2500 0.7500 0.5000  4 Ru 2.02
7 Be 0.5000 0.5000 0.0000  4 Ru 2.26
8 Be 0.7500 0.2500 0.5000  4 Ru 2.26

Fermi-level density of states   7.50 states/eV per cell
Electronic total energy   -61.366 eV per cell
ΔH_f (0 K)   0.170 eV/atom


No. 2
First-principles (GGA-PBEsol) data for BeB3S after structural relaxation, as listed in Alexandria via LeMat-Bulk.

a b c (Å): 3.7599 3.7599 3.7599
angles (deg): 90.00 90.00 90.00
Last column: nearest neighbours and their distance in Å.
Sites, in units of the cell vectors:
1 Be 0.5000 0.5000 0.5000  12 B 2.66
2 S 0.0000 0.0000 0.0000  6 B 1.88
3 B 0.0000 0.5000 0.0000  2 S 1.88
4 B 0.0000 0.0000 0.5000  2 S 1.88
5 B 0.5000 0.0000 0.0000  2 S 1.88

Formation energy (no corrections)   1.8111 eV per atom
Fermi-level density of states   2.81 states/eV per cell
Electronic total energy   -20.378 eV per cell


No. 3
First-principles (GGA-PBEsol) data for BeBS2 after structural relaxation, as listed in Alexandria via LeMat-Bulk.

a b c (Å): 4.6660 4.6660 5.6502
angles (deg): 114.39 114.39 90.00
Last column: nearest neighbours and their distance in Å.
Sites, in units of the cell vectors:
1 Be 0.7500 0.2500 0.5000  4 S 2.07
2 Be 0.5000 0.5000 0.0000  4 S 2.07
3 S 0.8972 0.3750 0.2500  2 B 1.95, 2 Be 2.07
4 S 0.3528 0.8750 0.2500  2 B 1.95, 2 Be 2.07
5 S 0.6250 0.6472 0.7500  2 B 1.95, 2 Be 2.07
6 S 0.1250 0.1028 0.7500  2 B 1.95, 2 Be 2.07
7 B 0.2500 0.7500 0.5000  4 S 1.95
8 B 0.0000 0.0000 0.0000  4 S 1.95

Formation energy (no corrections)   -0.2299 eV per atom
Fermi-level density of states   2.73 states/eV per cell
Electronic total energy   -41.408 eV per cell


No. 4
First-principles (GGA-PBEsol) data for Be2SnBS after structural relaxation, as listed in Alexandria via LeMat-Bulk.

a b c (Å): 3.8032 3.8032 5.0085
angles (deg): 90.00 90.00 90.00
Last column: nearest neighbours and their distance in Å.
Sites, in units of the cell vectors:
1 Be 0.0000 0.5000 0.0000  2 B 1.90
2 Be 0.5000 0.0000 0.0000  2 B 1.90
3 S 0.5000 0.5000 0.5000  4 Sn 2.69
4 B 0.0000 0.0000 0.0000  4 Be 1.90
5 Sn 0.0000 0.0000 0.5000  2 B 2.50, 4 S 2.69

Formation energy (no corrections)   0.2602 eV per atom
Fermi-level density of states   1.03 states/eV per cell
Electronic total energy   -22.359 eV per cell


> Among the records above, which one has the highest Fermi-level density of states?

BeBRu2